[1]
# MnRhNO2 (meta-GGA SCAN, PBEsol geometry)
# DOS(E_F) (states/eV/f.u.): 1.7
# Crystal system: tetragonal
# Uncorrected formation energy (eV/atom): -0.19
# Total magnetization (μB/cell): 4.9
data_MnRhNO2
_chemical_formula_sum 'Mn1 Rh1 N1 O2'
_cell_length_a 3.978
_cell_length_b 3.978
_cell_length_c 3.589
_cell_angle_alpha 90.00
_cell_angle_beta 90.00
_cell_angle_gamma 90.00
_symmetry_space_group_name_H-M 'P 4/m m m'
_symmetry_Int_Tables_number 123
_symmetry_space_group_name_Hall '-P 4 2'
loop_
_atom_site_label
_atom_site_type_symbol
_atom_site_fract_x
_atom_site_fract_y
_atom_site_fract_z
Mn1 Mn 0.000 0.000 0.000
Rh1 Rh 0.500 0.500 0.500
N1 N 0.500 0.500 0.000
O1 O 0.000 0.500 0.500

[2]
# Te3Mo (meta-GGA SCAN, PBEsol geometry)
# DOS(E_F) (states/eV/f.u.): 2.6
# Crystal system: tetragonal
# Uncorrected formation energy (eV/atom): 0.02
# Total magnetization (μB/cell): 0.0
data_Te3Mo
_chemical_formula_sum 'Te3 Mo1'
_cell_length_a 3.194
_cell_length_b 3.194
_cell_length_c 9.827
_cell_angle_alpha 90.00
_cell_angle_beta 90.00
_cell_angle_gamma 90.00
_symmetry_space_group_name_H-M 'P 4/m m m'
_symmetry_Int_Tables_number 123
_symmetry_space_group_name_Hall '-P 4 2'
loop_
_atom_site_label
_atom_site_type_symbol
_atom_site_fract_x
_atom_site_fract_y
_atom_site_fract_z
Te1 Te 0.000 0.000 0.000
Te2 Te 0.500 0.500 0.328
Mo1 Mo 0.000 0.000 0.500

The lowest DOS(E_F) belongs to which entry? MnRhNO2

Among the records above, which one has the lowest DOS(E_F)? MnRhNO2

Look up the DOS(E_F) of the first one. 1.7 states/eV/f.u.